(1)
DFT (PBE) results for crystalline MgCd2Pb at its relaxed geometry.

Results
Calculated total energy, eV per atom: -1.739
Polymorph energy (0 for the lowest one), meV/atom: 60.2
Energy of formation, meV per atom: 45

Unit cell a=5.236 b=5.236 c=5.236 alpha=60.00 beta=60.00 gamma=60.00
Positions (direct):
Cd (0.250, 0.250, 0.250)
Cd (0.750, 0.750, 0.750)
Pb (0.500, 0.500, 0.500)
Mg (0.000, 0.000, 0.000)



(2)
DFT (PBE) results for crystalline Mg5Cd4Pb at its relaxed geometry.

Results
Calculated total energy, eV per atom: -1.627
Energy of formation, meV per atom: -93

Unit cell a=3.328 b=3.328 c=20.366 alpha=90.00 beta=90.00 gamma=90.00
Positions (direct):
Cd (0.000, 0.000, 0.403)
Cd (0.000, 0.000, 0.597)
Cd (0.000, 0.000, 0.792)
Cd (0.000, 0.000, 0.208)
Mg (0.500, 0.500, 0.500)
Mg (0.500, 0.500, 0.304)
Mg (0.500, 0.500, 0.887)
Mg (0.500, 0.500, 0.113)
Mg (0.500, 0.500, 0.696)
Pb (0.000, 0.000, 0.000)



(3)
DFT (PBE) results for crystalline Mg2CdPb at its relaxed geometry.

Results
Calculated total energy, eV per atom: -1.962
Energy of formation, meV per atom: -8

Unit cell a=3.598 b=5.501 c=6.000 alpha=117.29 beta=107.45 gamma=90.00
Positions (direct):
Mg (0.260, 0.260, 0.520)
Mg (0.740, 0.740, 0.480)
Pb (0.500, 0.000, 0.000)
Cd (0.000, 0.500, 0.000)



(4)
DFT (PBE) results for crystalline Mg12CdPb6 at its relaxed geometry.

Results
Calculated total energy, eV per atom: -2.202
Energy of formation, meV per atom: 24

Unit cell a=8.300 b=8.300 c=8.300 alpha=99.68 beta=99.68 gamma=99.68
Positions (direct):
Mg (0.623, 0.183, 0.486)
Mg (0.183, 0.486, 0.623)
Mg (0.690, 0.977, 0.139)
Mg (0.514, 0.377, 0.817)
Mg (0.486, 0.623, 0.183)
Mg (0.977, 0.139, 0.690)
Mg (0.861, 0.310, 0.023)
Mg (0.139, 0.690, 0.977)
Mg (0.377, 0.817, 0.514)
Mg (0.817, 0.514, 0.377)
Mg (0.310, 0.023, 0.861)
Mg (0.023, 0.861, 0.310)
Cd (0.000, 0.000, 0.000)
Pb (0.271, 0.151, 0.523)
Pb (0.477, 0.729, 0.849)
Pb (0.849, 0.477, 0.729)
Pb (0.729, 0.849, 0.477)
Pb (0.151, 0.523, 0.271)
Pb (0.523, 0.271, 0.151)



(5)
DFT (PBE) results for crystalline Mg2Cd7Pb2 at its relaxed geometry.

Results
Calculated total energy, eV per atom: -1.534
Energy of formation, meV per atom: 12

Unit cell a=5.804 b=7.394 c=7.394 alpha=86.06 beta=68.64 gamma=68.64
Positions (direct):
Cd (0.091, 0.619, 0.619)
Cd (0.683, 0.583, 0.069)
Cd (0.500, 0.000, 0.000)
Cd (0.317, 0.417, 0.931)
Cd (0.683, 0.069, 0.583)
Cd (0.317, 0.931, 0.417)
Cd (0.909, 0.381, 0.381)
Pb (0.000, 0.169, 0.831)
Pb (0.000, 0.831, 0.169)
Mg (0.488, 0.289, 0.289)
Mg (0.512, 0.711, 0.711)



(6)
DFT (PBE) results for crystalline Mg8Cd2Pb at its relaxed geometry.

Results
Calculated total energy, eV per atom: -1.696
Polymorph energy (0 for the lowest one), meV/atom: 0.0
Energy of formation, meV per atom: -33

Unit cell a=4.876 b=7.348 c=8.377 alpha=116.08 beta=105.88 gamma=90.01
Positions (direct):
Mg (0.764, 0.999, 0.171)
Mg (0.970, 0.039, 0.586)
Mg (0.933, 0.450, 0.500)
Mg (0.340, 0.862, 0.318)
Mg (0.636, 0.209, 0.910)
Mg (0.302, 0.362, 0.232)
Mg (0.136, 0.504, 0.910)
Mg (0.508, 0.737, 0.644)
Cd (0.479, 0.302, 0.596)
Cd (0.796, 0.616, 0.225)
Pb (0.136, 0.920, 0.908)



(7)
DFT (PBE) results for crystalline Mg7CdPb4 at its relaxed geometry.

Results
Calculated total energy, eV per atom: -2.194
Polymorph energy (0 for the lowest one), meV/atom: 67.9
Energy of formation, meV per atom: 48

Unit cell a=5.620 b=10.049 c=6.578 alpha=83.43 beta=64.71 gamma=73.76
Positions (direct):
Mg (0.500, 0.000, 0.000)
Mg (0.660, 0.458, 0.223)
Mg (0.199, 0.079, 0.524)
Mg (0.958, 0.375, 0.710)
Mg (0.801, 0.921, 0.476)
Mg (0.042, 0.625, 0.290)
Mg (0.340, 0.542, 0.777)
Pb (0.732, 0.692, 0.844)
Pb (0.590, 0.233, 0.587)
Pb (0.268, 0.308, 0.156)
Pb (0.410, 0.767, 0.413)
Cd (0.000, 0.000, 0.000)



(8)
DFT (PBE) results for crystalline MgCd2Pb at its relaxed geometry.

Results
Calculated total energy, eV per atom: -1.787
Polymorph energy (0 for the lowest one), meV/atom: 11.6
Energy of formation, meV per atom: -4

Unit cell a=5.645 b=5.645 c=5.645 alpha=131.41 beta=131.41 gamma=71.16
Positions (direct):
Cd (0.000, 0.000, 0.000)
Cd (0.250, 0.750, 0.500)
Mg (0.500, 0.500, 0.000)
Pb (0.750, 0.250, 0.500)



Question: What is the energy of formation in the fifth record?
Answer: 12 meV per atom